First-principles (PBE) data for a relaxed structure of SrSi2Pt, as listed in Alexandria.

```
SrSi2Pt
1.0
-4.0687 -0.3825 0.7161
-1.3905 -0.8101 3.8241
-2.1739 5.3155 2.6046
Si Sr Pt
2 1 1
Direct
0.2898 0.2898 0.1337
0.0373 0.0373 0.8865
0.4935 0.4935 0.5161
0.6793 0.6793 0.9636
```

formation energy without anion corrections	-0.663	eV/atom
DOS(E_F)	2.05	states/eV/f.u.
calculated volume	87	Å³/cell
total energy	-5.31	eV/atom